# 1
Entry from Alexandria via LeMat-Bulk: a PBEsol-optimized structure of BaInTc (meta-GGA SCAN).

Output
The density of states at the Fermi level comes out at 0.29 states/eV/f.u. As for the total moment: 0.00 μB per formula unit. For the formation enthalpy at 0 K, the calculation gives 0.713 eV per atom. As for the total energy: -35.286 eV/atom.

Unit cell a=4.812 b=4.812 c=4.812 alpha=60.00 beta=60.00 gamma=60.00
Fractional positions:
Ba  0.000  0.000  0.000
In  0.500  0.500  0.500
Tc  0.250  0.250  0.250



# 2
Entry from Alexandria via LeMat-Bulk: a PBEsol-optimized structure of BaIn2Te4 (meta-GGA SCAN).

Output
The value obtained for the energy relative to the elements, uncorrected is -0.8598 eV/atom. As for the total moment: 0.00 μB per formula unit. As for the total energy: -37.335 eV/atom.

Unit cell a=6.956 b=6.956 c=6.956 alpha=104.76 beta=104.76 gamma=119.36
Fractional positions:
Te  0.067  0.567  0.133
Te  0.933  0.067  0.500
Te  0.567  0.433  0.500
Te  0.433  0.933  0.867
Ba  0.000  0.000  0.000
In  0.500  0.000  0.500
In  0.000  0.500  0.500



# 3
Entry from Alexandria via LeMat-Bulk: a PBEsol-optimized structure of BaIn3Te (meta-GGA SCAN).

Output
The density of states at the Fermi level comes out at 4.36 states/eV/f.u. The value obtained for the energy relative to the elements, uncorrected is 0.0811 eV/atom. As for the total moment: 0.00 μB per formula unit. As for the total energy: -35.311 eV/atom.

Unit cell a=5.749 b=5.749 c=5.749 alpha=90.00 beta=90.00 gamma=90.00
Fractional positions:
Te  0.000  0.000  0.000
Ba  0.500  0.500  0.500
In  0.000  0.500  0.000
In  0.000  0.000  0.500
In  0.500  0.000  0.000



# 4
Entry from Alexandria via LeMat-Bulk: a PBEsol-optimized structure of BaIn2Te4 (meta-GGA SCAN).

Output
The value obtained for the energy relative to the elements, uncorrected is -0.8730 eV/atom. As for the total moment: 0.00 μB per formula unit. As for the total energy: -37.348 eV/atom.

Unit cell a=6.958 b=6.958 c=12.093 alpha=90.00 beta=90.00 gamma=118.74
Fractional positions:
Ba  0.500  0.500  0.750
Ba  0.500  0.500  0.250
In  0.240  0.763  0.500
In  0.760  0.237  0.500
In  0.237  0.760  0.000
In  0.763  0.240  0.000
Te  0.199  0.336  0.500
Te  0.801  0.664  0.500
Te  0.664  0.801  0.000
Te  0.336  0.199  0.000
Te  0.000  0.500  0.818
Te  0.500  0.000  0.682
Te  0.000  0.500  0.182
Te  0.500  0.000  0.318



# 5
Entry from Alexandria via LeMat-Bulk: a PBEsol-optimized structure of BaTlIn2 (meta-GGA SCAN).

Output
The density of states at the Fermi level comes out at 1.37 states/eV/f.u. As for the total moment: 0.00 μB per formula unit. For the formation enthalpy at 0 K, the calculation gives -0.458 eV per atom. As for the total energy: -45.128 eV/atom.

Unit cell a=4.922 b=4.922 c=6.672 alpha=68.35 beta=68.35 gamma=60.00
Fractional positions:
Tl  0.476  0.476  0.571
Ba  0.251  0.251  0.248
In  0.028  0.028  0.917
In  0.741  0.741  0.777



# 6
Entry from Alexandria via LeMat-Bulk: a PBEsol-optimized structure of BaTlIn (meta-GGA SCAN).

Output
The density of states at the Fermi level comes out at 1.83 states/eV/f.u. As for the total moment: 0.00 μB per formula unit. For the formation enthalpy at 0 K, the calculation gives -0.527 eV per atom. As for the total energy: -48.959 eV/atom.

Unit cell a=4.210 b=5.196 c=5.196 alpha=120.00 beta=90.00 gamma=90.00
Fractional positions:
Tl  0.453  0.667  0.333
Ba  0.004  0.000  0.000
In  0.543  0.333  0.667



# 7
Entry from Alexandria via LeMat-Bulk: a PBEsol-optimized structure of BaTlIn4 (meta-GGA SCAN).

Output
The density of states at the Fermi level comes out at 3.91 states/eV/f.u. As for the total moment: 0.00 μB per formula unit. For the formation enthalpy at 0 K, the calculation gives -0.260 eV per atom. As for the total energy: -41.169 eV/atom.

Unit cell a=6.258 b=6.258 c=6.258 alpha=60.00 beta=60.00 gamma=60.00
Fractional positions:
Ba  0.000  0.000  0.000
In  0.376  0.376  0.376
In  0.376  0.376  0.873
In  0.873  0.376  0.376
In  0.376  0.873  0.376
Tl  0.750  0.750  0.750



# 8
Entry from Alexandria via LeMat-Bulk: a PBEsol-optimized structure of BaTlIn2 (meta-GGA SCAN).

Output
The density of states at the Fermi level comes out at 1.78 states/eV/f.u. As for the total moment: 0.00 μB per formula unit. For the formation enthalpy at 0 K, the calculation gives -0.355 eV per atom. As for the total energy: -45.025 eV/atom.

Unit cell a=5.515 b=5.516 c=5.516 alpha=60.04 beta=60.00 gamma=60.00
Fractional positions:
Tl  0.500  0.500  0.500
Ba  0.250  0.250  0.250
In  0.000  0.000  0.000
In  0.750  0.750  0.750



# 9
Entry from Alexandria via LeMat-Bulk: a PBEsol-optimized structure of BaTlIn2 (meta-GGA SCAN).

Output
The density of states at the Fermi level comes out at 1.55 states/eV/f.u. As for the total moment: 0.00 μB per formula unit. For the formation enthalpy at 0 K, the calculation gives -0.371 eV per atom. As for the total energy: -45.041 eV/atom.

Unit cell a=4.983 b=4.966 c=6.660 alpha=111.93 beta=90.00 gamma=120.11
Fractional positions:
Ba  0.500  0.000  0.000
In  0.723  0.447  0.669
In  0.277  0.553  0.331
Tl  0.000  0.000  0.500



# 10
Entry from Alexandria via LeMat-Bulk: a PBEsol-optimized structure of BaIn2W (meta-GGA SCAN).

Output
The density of states at the Fermi level comes out at 2.51 states/eV/f.u. As for the total moment: 0.55 μB per formula unit. For the formation enthalpy at 0 K, the calculation gives 0.408 eV per atom. As for the total energy: -43.595 eV/atom.

Unit cell a=3.040 b=3.651 c=8.652 alpha=90.00 beta=90.00 gamma=90.00
Site moments in Bohr magnetons follow the coordinates.
Fractional positions:
Ba  0.500  0.500  0.000  0.01
In  0.000  0.000  0.304  0.00
In  0.000  0.000  0.696  0.00
W  0.500  0.500  0.500  0.38



# 11
Entry from Alexandria via LeMat-Bulk: a PBEsol-optimized structure of BaY2In (meta-GGA SCAN).

Output
The density of states at the Fermi level comes out at 4.16 states/eV/f.u. As for the total moment: 0.00 μB per formula unit. For the formation enthalpy at 0 K, the calculation gives -0.094 eV per atom. As for the total energy: -32.250 eV/atom.

Unit cell a=4.897 b=4.897 c=6.164 alpha=113.40 beta=113.40 gamma=90.00
Fractional positions:
Ba  0.500  0.500  0.000
In  0.250  0.750  0.500
Y  0.000  0.000  0.000
Y  0.750  0.250  0.500



# 12
Entry from Alexandria via LeMat-Bulk: a PBEsol-optimized structure of BaYIn2 (meta-GGA SCAN).

Output
The density of states at the Fermi level comes out at 3.77 states/eV/f.u. As for the total moment: 0.00 μB per formula unit. For the formation enthalpy at 0 K, the calculation gives -0.416 eV per atom. As for the total energy: -33.958 eV/atom.

Unit cell a=4.244 b=4.937 c=7.032 alpha=110.55 beta=107.56 gamma=90.00
Fractional positions:
Ba  0.279  0.779  0.559
In  0.023  0.023  0.045
In  0.683  0.183  0.366
Y  0.515  0.515  0.030